This record from Alexandria describes an optimized crystal structure of AcHoGe2Pt2. The functional is PBE.

Its calculated formation energy is -1075 meV/atom. For the calculated total energy, the calculation gives -6.076 eV per atom. The value obtained for the density of states at the Fermi level is 4.222 states/eV per cell.

The structure belongs to space group P-3m1 (No. 164); the cell edges are 4.4901, 4.4901 and 7.5729 Å and the angles 90.00°, 90.00° and 120.00°. Symmetry generates all atoms from Ac at (0.0000, 0.0000, 0.0000), Ho at (0.0000, 0.0000, 0.5000), Ge at (0.3333, 0.6667, 0.2885) and Pt at (0.3333, 0.6667, 0.7006).